This record from the Alexandria database describes a relaxed SrPuPdAu crystal. The functional is PBE.

## Properties
V = 24.980 Å³ per atom
Magnetic moment = 5.97 μB per formula unit
DOS(E_F) = 15.46 states/eV per cell
Density = 10.6 g/cm³
Calculated formation energy = -0.430 eV per atom

Cell lengths 5.209, 5.209, 5.209 Å; angles 60.00, 60.00, 60.00 degrees
Fractional positions:
Sr 0.000 0.000 0.000
Pu 0.500 0.500 0.500
Pd 0.750 0.750 0.750
Au 0.250 0.250 0.250